Entry 1:
# Ca2TbAg4

A relaxed structure of Ca2TbAg4 (GGA-PBE, Alexandria).

POSCAR file:
```
Ca2TbAg4
1.0
5.095 0.000 -1.624
-0.518 5.069 -1.624
-0.410 -0.454 7.519
Ca Tb Ag
2 1 4
Direct
0.724 0.724 0.448 Ca
0.276 0.276 0.552 Ca
0.000 0.000 0.000 Tb
0.386 0.886 0.773 Ag
0.886 0.386 0.773 Ag
0.614 0.114 0.227 Ag
0.114 0.614 0.227 Ag
```

Output
Formation energy: -0.8 eV/f.u.
VASP energy: -2.980 eV per atom
Volume: 26.67 Å³/atom
Fermi-level density of states: 0.739 states/eV/atom
M_tot: 0.0 μB/cell

Entry 2:
# Ca2TbAg

A relaxed structure of Ca2TbAg (GGA-PBE, Alexandria).

POSCAR file:
```
Ca2TbAg
1.0
-3.415 0.765 0.680
0.585 -0.484 3.483
2.292 9.409 0.923
Ca Tb Ag
2 1 1
Direct
0.000 0.000 0.796 Ca
0.000 0.000 0.204 Ca
0.500 0.500 0.500 Tb
0.500 0.500 0.000 Ag
```

Output
Energy relative to the lowest polymorph listed for this composition: 0 meV per atom
Formation energy: -0.2 eV/f.u.
VASP energy: -2.931 eV per atom
Volume: 30.91 Å³/atom
Fermi-level density of states: 1.340 states/eV/atom
M_tot: 0.0 μB/cell